[1]
A plane-wave DFT calculation with PBEsol was carried out for a relaxed structure of TaBeSi3.

Results
Total magnetization = 0.001 μB per atom
Space-group type = No. 221

POSCAR file:
```
TaBeSi3
1.0
4.833 0.000 0.000
0.000 4.833 0.000
0.000 0.000 4.833
Ta Be Si
1 1 3
Direct
0.000 0.000 0.000 Ta
0.500 0.500 0.500 Be
0.000 0.000 0.500 Si
0.000 0.500 0.000 Si
0.500 0.000 0.000 Si
```

=====

[2]
A plane-wave DFT calculation with PBEsol was carried out for a relaxed structure of TaBeSi2.

Results
Total magnetization = 0.000 μB per atom
Space-group type = No. 166

POSCAR file:
```
TaBeSi2
1.0
1.424 0.822 7.864
-1.424 0.822 7.864
0.000 -1.644 7.864
Ta Be Si
1 1 2
Direct
0.000 0.000 0.000 Ta
0.500 0.500 0.500 Be
0.242 0.242 0.242 Si
0.758 0.758 0.758 Si
```

=====

[3]
A plane-wave DFT calculation with PBEsol was carried out for a relaxed structure of TaBeSi2.

Results
Total magnetization = 0.000 μB per atom
Space-group type = No. 119

POSCAR file:
```
TaBeSi2
1.0
-1.792 1.792 4.061
1.792 -1.792 4.061
1.792 1.792 -4.061
Ta Be Si
1 1 2
Direct
0.000 0.000 0.000 Ta
0.750 0.250 0.500 Be
0.250 0.750 0.500 Si
0.500 0.500 0.000 Si
```

=====

Number 1: mass density 4.0 g cm⁻³, formation energy (no corrections) 112.4 kJ/mol of atoms. Number 2: mass density 7.4 g cm⁻³, formation energy (no corrections) 5.1 kJ/mol of atoms. Number 3: mass density 7.8 g cm⁻³, formation energy (no corrections) -15.1 kJ/mol of atoms.